A relaxed ZrScZn crystal, computed with GGA-PBEsol.

Summary:
The space-group type is F-43m, No. 216. The calculation puts the polymorph energy (0 for the lowest one) at 0.981 eV per atom. As for the energy of formation: 2.28 eV per formula unit.

Lattice parameters (Å, degrees): 4.5813 4.5813 4.5813 60.00 60.00 60.00
With the nearest neighbours (Å) after each atom.
Sites, in units of the cell vectors:
Zr 0.0000 0.0000 0.0000  4 Sc 2.81, 4 Zn 2.81
Sc 0.7500 0.7500 0.7500  4 Zr 2.81
Zn 0.2500 0.2500 0.2500  4 Zr 2.81